# BaBeBr, optimized geometry, DFT GGA-PBE
# Fermi-level density of states   2.59 states/eV/f.u.
# ΔE_f (raw)   -0.051 eV/atom
# Calculated total energy   -29.90 eV/cell
# Total moment   0.40 μB/f.u.
data_BaBeBr
_chemical_formula_sum 'Ba4 Be4 Br4'
_space_group_name_H-M_alt 'F -4 3 m'
_space_group_IT_number 216
_space_group_name_Hall 'F -4 2 3'
_cell_length_a 7.5721
_cell_length_b 7.5721
_cell_length_c 7.5721
_cell_angle_alpha 90.00
_cell_angle_beta 90.00
_cell_angle_gamma 90.00
loop_
_atom_site_label
_atom_site_type_symbol
_atom_site_fract_x
_atom_site_fract_y
_atom_site_fract_z
Ba1 Ba 0.0000 0.0000 0.0000
Be1 Be 0.0000 0.0000 0.5000
Br1 Br 0.2500 0.2500 0.7500